AlAs2Ir | the Alexandria database | GGA-PBE | optimized geometry; calculated density = 9.11 g/cm3; energy of formation = 120 meV/atom; calculated total energy = -5.3556 eV/atom
1.0
-2.3627 -1.9080 0.3477
1.9222 -2.3766 0.0204
0.6064 0.5520 7.1496
As Al Ir
2 1 1
Cartesian
0.2888 0.2628 3.4047
0.0144 0.0131 0.1701
0.2345 -1.7283 5.5462
-0.0687 -2.0043 1.9715

FeMoW2 | the Alexandria database | GGA-PBE | optimized geometry; excess energy over the best structure of this formula in the dataset = 0.18 eV/f.u.; calculated density = 14.41 g/cm3; energy of formation = 116 meV/atom; calculated total energy = -11.1836 eV/atom
1.0
3.1463 0.0000 0.0000
0.0000 3.1463 0.0000
0.0000 0.0000 6.0471
Mo Fe W
1 1 2
Cartesian
1.5731 1.5731 4.5353
1.5731 1.5731 1.5118
0.0000 0.0000 2.9684
0.0000 0.0000 0.0551

CrC2Br2 | the Alexandria database | GGA-PBE | optimized geometry; raw formation energy = 1768 meV/atom; excess energy over the best structure of this formula in the dataset = 3.81 eV/f.u.; calculated density = 5.04 g/cm3; calculated total energy = -4.5152 eV/atom
1.0
-3.6352 1.4731 4.3586
-4.5624 -0.4381 -3.6571
-0.4573 -4.3630 1.0932
Br Cr C
4 2 4
Cartesian
-6.4230 -1.5003 0.6737
-4.5037 -1.1346 2.9362
-2.2319 -1.8276 1.1209
-4.1513 -2.1933 -1.1415
0.0000 0.0000 0.0000
-4.0988 0.5175 0.3507
-3.9515 1.0060 2.3619
-2.0398 0.2785 0.2580
-6.1577 0.7566 0.4435
-4.2461 0.0291 -1.6604

SmErInTc | the Alexandria database | GGA-PBE | optimized geometry; calculated density = 9.35 g/cm3; energy of formation = -111 meV/atom; calculated total energy = -5.7074 eV/atom
1.0
-1.1034 3.5624 -3.4882
-1.5162 -1.3871 -4.6747
-4.8413 0.7493 -1.4412
Tc Er Sm In
1 1 1 1
Cartesian
-3.7304 1.4623 -4.8021
-1.8652 0.7312 -2.4010
-5.5956 2.1935 -7.2031
0.0000 0.0000 0.0000

Os2RuAu | the Alexandria database | GGA-PBE | optimized geometry; excess energy over the best structure of this formula in the dataset = 1.93 eV/f.u.; calculated density = 18.30 g/cm3; energy of formation = 760 meV/atom; calculated total energy = -7.9933 eV/atom
1.0
2.7694 0.0000 0.0000
0.0000 4.6977 0.0000
0.0000 0.0000 4.7317
Os Au Ru
2 1 1
Cartesian
1.3847 2.3489 0.0000
0.0000 0.0000 0.0000
0.0000 2.3489 2.3658
1.3847 0.0000 2.3658

Cd2In | the Alexandria database | GGA-PBE | optimized geometry; calculated density = 7.72 g/cm3; energy of formation = 22 meV/atom; calculated total energy = -1.5004 eV/atom
1.0
6.0391 -0.0038 0.2069
5.2071 3.0589 0.2069
2.4904 0.6765 7.9974
In Cd
2 4
Cartesian
4.8394 1.3147 2.7227
8.0001 2.1733 0.8242
6.1001 1.6572 5.9326
13.4966 3.6665 8.1609
9.2298 2.5074 5.6117
1.8334 0.4980 3.3834

TbMgScAl | the Alexandria database | GGA-PBE | optimized geometry; calculated density = 4.62 g/cm3; energy of formation = -271 meV/atom; calculated total energy = -4.3459 eV/atom
1.0
5.0608 0.0000 0.0000
2.5304 4.3827 0.0000
2.5304 1.4609 4.1321
Tb Mg Al Sc
1 1 1 1
Cartesian
5.0608 2.9218 2.0660
7.5911 4.3827 3.0991
2.5304 1.4609 1.0330
0.0000 0.0000 0.0000

SmCdCo | the Alexandria database | GGA-PBE | optimized geometry; calculated density = 8.23 g/cm3; energy of formation = -230 meV/atom; calculated total energy = -4.4769 eV/atom
1.0
3.8623 0.0000 0.0000
0.0000 3.8812 -0.9003
0.0000 -0.0333 8.6724
Sm Co Cd
2 2 2
Cartesian
0.9656 3.4891 6.2251
2.8968 0.3588 1.5469
2.8968 1.7727 7.6417
0.9656 2.0753 0.1303
0.9656 2.7180 2.9013
2.8968 1.1299 4.8708